## Li2NbCo3O8 (PBE+U)

Data for a relaxed structure of Li2NbCo3O8.

Structure (extended XYZ):
```
28
Lattice="-0.1116 2.7249 5.0887 -4.6066 0.1852 -3.4754 -3.3995 -7.7800 4.0914" Properties=species:S:1:pos:R:3 pbc="T T T"
Co -4.6313 0.2736 1.3577
O -3.5664 -4.1502 2.1441
O -3.5798 -1.1933 2.0138
Co -3.2540 -4.6117 4.0674
O -5.1110 -4.9881 4.3807
O -5.1605 -3.7789 6.6388
Co -4.5765 -1.0624 -1.1373
O -1.1853 1.5396 4.0868
Nb -4.9964 -5.8719 6.3098
Li -3.3865 -7.7504 4.0758
O -3.5302 -2.4025 -0.2443
Li -2.9623 -1.2167 3.8617
Nb -4.7950 -2.8285 1.4094
Li -1.6868 -3.8604 2.0301
Co -3.3087 -3.2757 6.5624
O -5.6240 -1.1112 0.4716
O -3.0668 -5.0703 5.9229
Co -5.5673 -3.1849 4.8584
O -1.0473 -2.3969 1.2605
O -3.5230 1.6336 2.3231
Li -6.1603 -5.9533 3.0527
Co -2.3180 -1.1532 0.5667
O -3.6919 -2.8864 4.7398
O -1.1287 0.1568 1.5044
O -5.9607 -2.6734 2.9628
O -3.4905 0.1570 -0.1606
O -5.9041 -4.0562 0.3804
O -2.7471 -6.2869 3.3062
```

Properties
Energy above the lowest structure with this stoichiometry = 0 meV/atom
Density = 5.02 Mg/m³
Magnetic moment = 0.0 μB per cell
Symmetry = No. 186
E = -6.532 eV/atom